# CsHgAu (GGA-PBE, relaxed)
data_CsHgAu
_chemical_formula_sum 'Cs4 Hg4 Au4'
_cell_length_a 8.453
_cell_length_b 8.453
_cell_length_c 8.453
_cell_angle_alpha 90.00
_cell_angle_beta 90.00
_cell_angle_gamma 90.00
_space_group_name_H-M_alt 'F -4 3 m'
_space_group_IT_number 216
_space_group_name_Hall 'F -4 2 3'
loop_
_atom_site_label
_atom_site_fract_x
_atom_site_fract_y
_atom_site_fract_z
Cs1 0.000 0.000 0.000
Hg1 0.250 0.250 0.250
Au1 0.250 0.250 0.750
# **Electronic total energy**: -1.565 eV per atom
# **Relative energy among the computed polymorphs**: 203 meV/atom